The following is a DFT calculation (GGA-PBE) of LaPm2ErP4 after structural relaxation.

Output
* SG: P2/m, No. 10
* density of states at the Fermi level: 0.08 states/eV per atom
* E: -53.09 eV/f.u.

abc: 4.1323 7.1509 7.1480
angles: 70.59 90.00 90.00
Fractional coordinates of all 8 atoms:
La 0.5000 0.5000 0.0000
Pm 0.0000 0.0000 0.0000
Pm 0.5000 0.0000 0.5000
Er 0.0000 0.5000 0.5000
P 0.0000 0.7509 0.7423
P 0.0000 0.2491 0.2577
P 0.5000 0.7455 0.2585
P 0.5000 0.2545 0.7415

---

The following is a DFT calculation (GGA-PBE) of La2PmErP4 after structural relaxation.

Output
* SG: P2/m, No. 10
* density of states at the Fermi level: 0.09 states/eV per atom
* E: -53.33 eV/f.u.

abc: 4.1665 7.2123 7.2099
angles: 70.55 90.00 90.00
Fractional coordinates of all 8 atoms:
La 0.0000 0.0000 0.0000
La 0.5000 0.0000 0.5000
Pm 0.5000 0.5000 0.0000
Er 0.0000 0.5000 0.5000
P 0.0000 0.7402 0.7487
P 0.0000 0.2598 0.2513
P 0.5000 0.7373 0.2585
P 0.5000 0.2627 0.7415

---

The following is a DFT calculation (GGA-PBE) of LaPmEr2P4 after structural relaxation.

Output
* SG: P2/m, No. 10
* density of states at the Fermi level: 0.10 states/eV per atom
* E: -53.04 eV/f.u.

abc: 4.0896 7.0726 7.0813
angles: 70.54 90.00 90.00
Fractional coordinates of all 8 atoms:
La 0.5000 0.5000 0.0000
Pm 0.0000 0.5000 0.5000
Er 0.0000 0.0000 0.0000
Er 0.5000 0.0000 0.5000
P 0.0000 0.7642 0.7424
P 0.0000 0.2358 0.2576
P 0.5000 0.7619 0.2487
P 0.5000 0.2381 0.7513

---

The following is a DFT calculation (GGA-PBE) of LaPr2ErP4 after structural relaxation.

Output
* SG: P2/m, No. 10
* density of states at the Fermi level: 0.09 states/eV per atom
* E: -52.95 eV/f.u.

abc: 4.1691 7.2110 7.2133
angles: 109.41 90.00 90.00
Fractional coordinates of all 8 atoms:
La 0.0000 0.0000 0.0000
Pr 0.5000 0.0000 0.5000
Pr 0.0000 0.5000 0.5000
Er 0.5000 0.5000 0.0000
P 0.5000 0.2563 0.2466
P 0.5000 0.7437 0.7534
P 0.0000 0.2599 0.7586
P 0.0000 0.7401 0.2414

---

The following is a DFT calculation (GGA-PBE) of La3PrEr2P6 after structural relaxation.

Output
* SG: C2/m, No. 12
* density of states at the Fermi level: 0.09 states/eV per atom
* E: -79.83 eV/f.u.

abc: 7.2121 7.2121 7.2105
angles: 99.60 99.60 120.00
Fractional coordinates of all 12 atoms:
La 0.1655 0.8345 0.5000
La 0.8345 0.1655 0.5000
La 0.5000 0.5000 0.5000
Pr 0.0000 0.0000 0.0000
Er 0.3329 0.6671 0.0000
Er 0.6671 0.3329 0.0000
P 0.9204 0.5793 0.7612
P 0.7381 0.7381 0.2377
P 0.0796 0.4207 0.2388
P 0.5793 0.9204 0.7612
P 0.2619 0.2619 0.7623
P 0.4207 0.0796 0.2388

---

The following is a DFT calculation (GGA-PBE) of La2PrErP4 after structural relaxation.

Output
* SG: P2/m, No. 10
* density of states at the Fermi level: 0.09 states/eV per atom
* E: -53.24 eV/f.u.

abc: 4.1857 7.2439 7.2414
angles: 70.55 90.00 90.00
Fractional coordinates of all 8 atoms:
La 0.0000 0.0000 0.0000
La 0.5000 0.0000 0.5000
Pr 0.5000 0.5000 0.0000
Er 0.0000 0.5000 0.5000
P 0.0000 0.7429 0.7459
P 0.0000 0.2571 0.2541
P 0.5000 0.7387 0.2599
P 0.5000 0.2613 0.7401

---

The following is a DFT calculation (GGA-PBE) of La2ErP3Pt12 after structural relaxation.

Output
* SG: R-3m, No. 166
* density of states at the Fermi level: 0.38 states/eV per atom
* E: -112.67 eV/f.u.

abc: 7.7787 7.7787 7.7787
angles: 64.60 64.60 64.60
Fractional coordinates of all 18 atoms:
La 0.6035 0.6035 0.6035
La 0.3965 0.3965 0.3965
Er 0.0000 0.0000 0.0000
P 0.5000 0.0000 0.0000
P 0.0000 0.5000 0.0000
P 0.0000 0.0000 0.5000
Pt 0.3385 0.3385 0.8990
Pt 0.8615 0.8615 0.3978
Pt 0.3978 0.8615 0.8615
Pt 0.8990 0.3385 0.3385
Pt 0.8615 0.3978 0.8615
Pt 0.3385 0.8990 0.3385
Pt 0.6615 0.6615 0.1010
Pt 0.1385 0.1385 0.6022
Pt 0.6022 0.1385 0.1385
Pt 0.1010 0.6615 0.6615
Pt 0.1385 0.6022 0.1385
Pt 0.6615 0.1010 0.6615

---

The following is a DFT calculation (GGA-PBE) of LaEr2PuP4 after structural relaxation.

Output
* SG: P2/m, No. 10
* density of states at the Fermi level: 1.57 states/eV per atom
* E: -61.65 eV/f.u.

abc: 4.0597 7.0045 7.0213
angles: 70.48 90.00 90.00
Fractional coordinates of all 8 atoms:
La 0.0000 0.5000 0.5000
Er 0.0000 0.0000 0.0000
Er 0.5000 0.0000 0.5000
Pu 0.5000 0.5000 0.0000
P 0.0000 0.7544 0.7570
P 0.0000 0.2456 0.2430
P 0.5000 0.7609 0.2383
P 0.5000 0.2391 0.7617

---

The following is a DFT calculation (GGA-PBE) of La2ErP3Rh4 after structural relaxation.

Output
* SG: P-4m2, No. 115
* density of states at the Fermi level: 0.52 states/eV per atom
* E: -71.05 eV/f.u.

abc: 4.0581 4.0581 11.2554
angles: 90.00 90.00 90.00
Fractional coordinates of all 10 atoms:
La 0.5000 0.0000 0.2282
La 0.0000 0.5000 0.7718
Er 0.5000 0.5000 0.5000
P 0.0000 0.0000 0.5000
P 0.5000 0.0000 0.8780
P 0.0000 0.5000 0.1220
Rh 0.5000 0.5000 0.0000
Rh 0.0000 0.0000 0.0000
Rh 0.5000 0.0000 0.6669
Rh 0.0000 0.5000 0.3331

---

The following is a DFT calculation (GGA-PBE) of LaErP2Rh5 after structural relaxation.

Output
* SG: P4/mmm, No. 123
* density of states at the Fermi level: 0.44 states/eV per atom
* E: -64.51 eV/f.u.

abc: 4.0663 4.0663 10.6567
angles: 90.00 90.00 90.00
Fractional coordinates of all 9 atoms:
La 0.0000 0.0000 0.5000
Er 0.0000 0.0000 0.0000
P 0.5000 0.5000 0.2852
P 0.5000 0.5000 0.7148
Rh 0.0000 0.5000 0.1923
Rh 0.5000 0.0000 0.1923
Rh 0.0000 0.5000 0.8077
Rh 0.5000 0.0000 0.8077
Rh 0.5000 0.5000 0.5000

---

The following is a DFT calculation (GGA-PBE) of LaErPS after structural relaxation.

Output
* SG: R3m, No. 160
* density of states at the Fermi level: 0.46 states/eV per atom
* formation energy without anion corrections: -1.88 eV per atom

abc: 4.0575 4.0575 7.0897
angles: 73.37 73.37 60.00
Fractional coordinates of all 4 atoms:
La 0.2526 0.2526 0.2422
Er 0.7475 0.7475 0.7574
P 0.0063 0.0063 0.9810
S 0.4935 0.4935 0.5194

---

The following is a DFT calculation (GGA-PBE) of LaErP2S8 after structural relaxation.

Output
* SG: P-3m1, No. 164
* density of states at the Fermi level: 0.05 states/eV per atom
* formation energy without anion corrections: -0.83 eV per atom

abc: 6.5963 6.5963 8.6034
angles: 90.00 90.00 120.00
Fractional coordinates of all 12 atoms:
La 0.0000 0.0000 0.5000
Er 0.0000 0.0000 0.0000
P 0.3333 0.6667 0.6945
P 0.6667 0.3333 0.3055
S 0.1633 0.3266 0.7751
S 0.1633 0.8367 0.7751
S 0.6734 0.8367 0.7751
S 0.3266 0.1633 0.2249
S 0.6667 0.3333 0.5357
S 0.3333 0.6667 0.4643
S 0.8367 0.6734 0.2249
S 0.8367 0.1633 0.2249